Material: TbGaCo4
Method: DFT, PBEsol
State: optimized geometry

```
TbGaCo4
1.0
3.9499 0.0000 0.0000
0.0000 8.4252 0.0000
0.0000 -4.2126 7.2964
Co Ga Tb
12 3 3
direct
0.0000 0.6757 0.0000
0.0000 0.3243 0.0000
0.5000 0.1609 0.3218
0.0000 0.0000 0.3243
0.5000 0.3218 0.1609
0.5000 0.6782 0.8391
0.0000 0.0000 0.6757
0.5000 0.8391 0.6782
0.0000 0.3243 0.3243
0.0000 0.6757 0.6757
0.5000 0.1609 0.8391
0.5000 0.8391 0.1609
0.5000 0.5000 0.5000
0.5000 0.5000 0.0000
0.5000 0.0000 0.5000
0.0000 0.3333 0.6667
0.0000 0.6667 0.3333
0.0000 0.0000 0.0000
```

Energy of formation ... -0.2728 eV/atom


Material: Tb2Ga8Co
Method: DFT, PBEsol
State: optimized geometry

```
Tb2Ga8Co
1.0
-1.5458 3.8266 -0.5733
-1.3564 -1.1141 -3.7789
-9.5410 -3.1998 4.3680
Tb Ga Co
2 8 1
direct
0.0000 0.0000 0.3058
0.0000 0.0000 0.6942
0.5000 0.0000 0.8838
0.5000 0.0000 0.1162
0.0000 0.5000 0.1162
0.0000 0.5000 0.5000
0.5000 0.0000 0.5000
0.5000 0.5000 0.3051
0.0000 0.5000 0.8838
0.5000 0.5000 0.6949
0.0000 0.0000 0.0000
```

Energy of formation ... -0.5470 eV/atom